Entry from Alexandria: a geometry-optimized La2VAg structure (PBE-GGA).

a b c (Å): 7.564 7.564 7.564
angles (deg): 90.00 90.00 90.00
Atoms (fractional coordinates):
La (0.250, 0.250, 0.250)
La (0.250, 0.250, 0.750)
La (0.250, 0.750, 0.250)
La (0.250, 0.750, 0.750)
La (0.750, 0.250, 0.250)
La (0.750, 0.250, 0.750)
La (0.750, 0.750, 0.250)
La (0.750, 0.750, 0.750)
V (0.000, 0.000, 0.000)
V (0.000, 0.500, 0.500)
V (0.500, 0.000, 0.500)
V (0.500, 0.500, 0.000)
Ag (0.000, 0.000, 0.500)
Ag (0.000, 0.500, 0.000)
Ag (0.500, 0.000, 0.000)
Ag (0.500, 0.500, 0.500)

Results
E above lowest polymorph: 0.000 eV per atom
V: 27.0 Å³ per atom